1.
Cs2LaPI6 GGA-PBE relaxed; space group = I4/mmm, No. 139; raw formation energy = -1.00 eV/atom; crystal system = tetragonal
1.0
8.376 0.000 0.000
0.000 8.376 0.000
4.188 4.188 7.167
Cs I P La
2 6 1 1
Cartesian
8.376 4.188 3.584 Cs
4.188 8.376 3.584 Cs
4.188 4.188 4.005 I
8.376 8.376 3.162 I
2.224 2.224 0.000 I
6.152 6.152 0.000 I
6.152 2.224 0.000 I
2.224 6.152 0.000 I
4.188 4.188 0.000 P
0.000 0.000 0.000 La

***

2.
Tb8In2Te GGA-PBE relaxed; space group = C2/m, No. 12; raw formation energy = -0.34 eV/atom; crystal system = monoclinic
1.0
5.094 0.000 0.000
0.000 6.889 0.319
-2.547 -2.522 9.433
Tb In Te
8 2 1
Cartesian
0.000 1.588 7.820 Tb
2.547 6.027 3.266 Tb
2.547 3.273 5.608 Tb
2.547 -0.739 9.056 Tb
0.000 1.094 4.145 Tb
0.000 -1.660 6.487 Tb
2.547 2.779 1.932 Tb
0.000 5.106 0.697 Tb
2.547 0.099 6.027 In
0.000 4.269 3.725 In
2.547 0.000 0.000 Te

***

3.
Hf3AsC2 GGA-PBE relaxed; space group = Pmc2_1, No. 26; E_form = -641 meV/atom; crystal system = orthorhombic
1.0
-2.504 -1.952 0.832
2.200 -0.525 5.389
-4.999 7.596 2.780
Hf As C
6 2 4
Cartesian
-1.352 -0.427 1.404 Hf
-4.057 4.087 3.856 Hf
-1.475 2.950 2.483 Hf
-4.430 5.661 6.422 Hf
-1.095 0.996 5.515 Hf
-1.317 4.120 5.701 Hf
-4.282 6.539 2.453 As
0.432 0.784 3.138 As
-1.076 1.636 0.602 C
-3.755 2.865 1.895 C
-2.820 5.697 4.879 C
-2.589 2.503 4.553 C

***

4.
LiTh2Zn4Au3 GGA-PBE relaxed; space group = P-4m2, No. 115; E_form = -405 meV/atom; crystal system = tetragonal
1.0
4.120 0.000 0.000
0.000 4.120 0.000
0.000 0.000 11.913
Li Th Zn Au
1 2 4 3
Cartesian
2.060 2.060 5.956 Li
2.060 0.000 2.960 Th
0.000 2.060 8.952 Th
2.060 2.060 0.000 Zn
0.000 0.000 0.000 Zn
2.060 0.000 7.551 Zn
0.000 2.060 4.361 Zn
0.000 0.000 5.956 Au
2.060 0.000 10.179 Au
0.000 2.060 1.734 Au

***

5.
BaSbP2 GGA-PBE relaxed; space group = Imm2, No. 44; raw formation energy = -0.23 eV/atom; crystal system = orthorhombic
1.0
-2.797 -3.739 3.917
2.571 0.011 5.525
-2.941 3.215 -4.261
Ba P Sb
1 2 1
Cartesian
-0.238 0.740 2.844 Ba
-0.212 -3.493 8.848 P
-2.934 -1.342 2.565 P
-0.122 -2.009 5.087 Sb

***

6.
Gd2HO GGA-PBE relaxed; space group = R-3m, No. 166; uncorrected energy = -10.663 eV per atom; crystal system = trigonal
1.0
3.530 0.000 0.000
1.765 3.057 0.000
1.765 1.019 5.724
H Gd O
1 2 1
Cartesian
0.000 0.000 0.000 H
5.294 3.057 4.219 Gd
1.765 1.019 1.505 Gd
3.530 2.038 2.862 O

***

7.
B7C3 GGA-PBE relaxed; space group = Imm2, No. 44; E_form = 461 meV/atom; crystal system = orthorhombic
1.0
1.782 -4.452 -9.118
4.620 -5.973 -7.009
-4.333 3.740 8.566
B C
7 3
Cartesian
5.119 -8.337 -12.898 B
0.991 -4.047 -5.986 B
3.732 -6.078 -9.403 B
-0.270 -1.994 -2.809 B
2.692 -4.385 -6.783 B
1.639 -3.552 -2.989 B
0.024 -0.040 -0.061 B
3.057 -5.862 -6.564 C
1.236 -2.012 -3.113 C
0.462 -1.636 -0.026 C

***

8.
Rb2BIrF6 GGA-PBE relaxed; space group = I4/mmm, No. 139; raw formation energy = -1.84 eV/atom; crystal system = tetragonal
1.0
-0.465 -0.892 5.635
4.374 -3.686 -0.222
5.004 1.280 3.523
B Ir Rb F
1 1 2 6
Cartesian
1.954 -2.289 2.706 B
0.000 0.000 0.000 Ir
3.246 -0.950 5.932 Rb
5.666 -2.347 3.003 Rb
2.813 -1.283 2.936 F
6.099 -2.014 5.999 F
1.012 -1.186 1.402 F
2.896 -3.392 4.010 F
0.788 -1.616 4.118 F
3.120 -2.962 1.295 F

***

9.
TbY4Mg2 GGA-PBE relaxed; space group = R-3m, No. 166; E_form = -29 meV/atom; crystal system = trigonal
1.0
5.216 0.000 1.630
2.353 4.655 1.630
0.170 0.104 8.619
Tb Y Mg
1 4 2
Cartesian
0.000 0.000 0.000 Tb
6.475 3.982 6.761 Y
1.264 0.777 5.117 Y
4.394 2.702 4.262 Y
3.346 2.057 7.616 Y
5.531 3.401 9.785 Mg
2.209 1.358 2.093 Mg

***

10.
BaLiTbCd GGA-PBE relaxed; space group = F-43m, No. 216; E_form = -4 meV/atom; crystal system = cubic
1.0
5.667 0.000 0.000
2.834 4.908 0.000
2.834 1.636 4.627
Li Tb Ba Cd
1 1 1 1
Cartesian
2.834 1.636 1.157 Li
5.667 3.272 2.314 Tb
0.000 0.000 0.000 Ba
8.501 4.908 3.471 Cd

***

11.
Rb2BiCO GGA-PBE relaxed; space group = P4/mmm, No. 123; raw formation energy = 0.52 eV/atom; crystal system = tetragonal
1.0
-2.803 0.803 5.972
1.822 -2.323 1.167
4.665 4.458 1.590
O C Bi Rb
1 1 1 2
Cartesian
0.000 0.000 0.000 O
0.911 -1.162 0.584 C
1.842 1.469 4.365 Bi
2.332 2.229 0.795 Rb
-1.401 0.401 2.986 Rb

***

12.
YSe2N2 GGA-PBE relaxed; space group = P4/mmm, No. 123; raw formation energy = 1.01 eV/atom; crystal system = tetragonal
1.0
-1.551 1.245 3.727
-0.502 -4.037 1.140
5.693 -0.035 2.381
Y Se N
1 2 2
Cartesian
0.000 0.000 0.000 Y
1.820 -1.413 3.624 Se
2.847 -0.018 1.190 Se
-0.251 -2.018 0.570 N
-0.775 0.623 1.864 N